The following is a GGA-PBE calculation of a geometry-optimized CaAc4Zn5 structure, from the Alexandria database.

Results
The calculated total energy is -2.7230 eV per atom.

The structure in POSCAR format:
```
CaAc4Zn5
1.0
3.882 0.000 0.000
0.000 3.882 0.000
0.000 0.000 19.254
Zn Ac Ca
5 4 1
Cartesian
1.941 1.941 13.537
1.941 1.941 5.717
1.941 1.941 17.501
1.941 1.941 1.753
1.941 1.941 9.627
0.000 0.000 15.510
0.000 0.000 7.651
0.000 0.000 11.602
0.000 0.000 3.744
0.000 0.000 0.000
```

The following is a GGA-PBE calculation of a geometry-optimized VAs structure, from the Alexandria database.

Results
The calculated total energy is -6.9880 eV per atom.

The structure in POSCAR format:
```
VAs
1.0
-1.719 -0.460 2.629
-3.689 -3.560 -3.036
6.118 -8.484 2.515
V As
6 6
Cartesian
1.023 -5.608 1.603
2.203 -3.263 0.869
3.739 -5.392 1.500
-3.693 -4.770 -1.333
0.890 -11.125 0.550
-2.513 -2.425 -2.068
-2.118 -1.445 0.279
-1.249 -4.436 -1.594
2.122 -9.110 -0.208
-0.241 -3.597 1.129
0.629 -6.588 -0.743
2.507 -7.407 2.259
```

The following is a GGA-PBE calculation of a geometry-optimized KIr2Au structure, from the Alexandria database.

Results
Its excess energy over the best structure of this formula in the dataset is 7.4 kJ per mole of atoms. The calculated total energy is -5.1350 eV per atom.

The structure in POSCAR format:
```
KIr2Au
1.0
-3.541 -1.535 -2.328
-3.274 -3.098 -0.052
-5.082 4.256 3.519
Ir K Au
2 1 1
Cartesian
-9.331 0.196 1.231
-11.624 -0.569 0.975
-5.996 -0.139 0.609
-2.794 -0.430 0.033
```